No. 1
PBE-GGA BaDy4YS8, relaxed; raw total energy = -6.2418 eV per atom; uncorrected formation energy = -1.9693 eV per atom; V = 396 Å³ per cell; Fermi-level density of states = 3.33 states/eV/cell
1.0
-6.0025 5.3654 1.7415
-7.4545 -0.9191 -3.3817
-6.3819 -2.3326 4.6701
Ba Dy Y S
1 4 1 8
Direct
0.3746 0.3746 0.8761 Ba
0.6251 0.6251 0.1247 Dy
0.0018 0.4946 0.5019 Dy
0.4946 0.0018 0.5019 Dy
0.0018 0.0018 0.5019 Dy
0.0018 0.0018 0.9946 Y
0.2325 0.8039 0.7312 S
0.8039 0.2325 0.7312 S
0.2325 0.2325 0.7312 S
0.2318 0.2318 0.3047 S
0.7569 0.2288 0.2574 S
0.2288 0.7569 0.2574 S
0.7569 0.7569 0.2574 S
0.7572 0.7572 0.7285 S

No. 2
PBE-GGA LiAgPbAu, relaxed; raw total energy = -3.1381 eV per atom; energy of formation from the pure elements = -0.200 eV per atom; V = 79 Å³ per cell; Fermi-level density of states = 0.91 states/eV/cell
1.0
4.6936 0.0000 0.0000
0.0000 4.6933 0.0080
-2.3468 -2.3397 3.5809
Li Ag Pb Au
1 1 1 1
Direct
0.5001 0.4996 0.0003 Li
0.7498 0.2503 0.4997 Ag
0.2500 0.7499 0.5001 Pb
0.0000 0.0002 0.0000 Au

No. 3
PBE-GGA Sr3AcAu4, relaxed; raw total energy = -3.5285 eV per atom; energy of formation from the pure elements = -0.746 eV per atom; V = 229 Å³ per cell; Fermi-level density of states = 4.00 states/eV/cell
1.0
-5.2930 3.5164 -2.0478
-1.6579 -3.5871 5.3814
4.9773 4.1704 1.5522
Sr Ac Au
3 1 4
Direct
0.0000 0.5000 0.5000 Sr
0.5000 0.0000 0.5000 Sr
0.5000 0.5000 0.0000 Sr
0.0000 0.0000 0.0000 Ac
0.0000 0.0000 0.4999 Au
0.5001 0.5001 0.5001 Au
0.4999 0.0000 0.0000 Au
0.0000 0.4999 0.0000 Au

No. 4
PBE-GGA Ce2Al2Cu15, relaxed; raw total energy = -4.3729 eV per atom; energy of formation from the pure elements = -0.121 eV per atom; V = 274 Å³ per cell; Fermi-level density of states = 20.61 states/eV/cell
1.0
6.4927 0.0103 0.8612
0.7558 6.4486 0.8612
0.0116 0.0103 6.5496
Ce Al Cu
2 2 15
Direct
0.3522 0.3522 0.3522 Ce
0.6478 0.6478 0.6478 Ce
0.1037 0.1037 0.1037 Al
0.8963 0.8963 0.8963 Al
0.5000 0.0000 0.0000 Cu
0.0000 0.0000 0.5000 Cu
0.0000 0.5000 0.0000 Cu
0.0000 0.7056 0.2944 Cu
0.7056 0.2944 0.0000 Cu
0.2944 0.0000 0.7056 Cu
0.2944 0.7056 0.0000 Cu
0.7056 0.0000 0.2944 Cu
0.0000 0.2944 0.7056 Cu
0.1497 0.6530 0.6530 Cu
0.6530 0.6530 0.1497 Cu
0.6530 0.1497 0.6530 Cu
0.8503 0.3470 0.3470 Cu
0.3470 0.3470 0.8503 Cu
0.3470 0.8503 0.3470 Cu

No. 5
PBE-GGA HoZrPt6, relaxed; raw total energy = -7.2429 eV per atom; energy of formation from the pure elements = -1.072 eV per atom; V = 136 Å³ per cell; Fermi-level density of states = 2.84 states/eV/cell
1.0
-2.0361 -3.1506 -1.6069
1.5887 -2.4713 2.8324
-6.3205 1.5755 4.9198
Ho Zr Pt
1 1 6
Direct
0.0000 0.0000 0.0000 Ho
0.0000 0.0000 0.5000 Zr
0.5000 0.5000 0.0000 Pt
0.5000 0.5000 0.5000 Pt
0.5000 0.0000 0.2570 Pt
0.5000 0.0000 0.7430 Pt
0.0000 0.5000 0.2570 Pt
0.0000 0.5000 0.7430 Pt

No. 6
PBE-GGA AlAuS2, relaxed; raw total energy = -4.2554 eV per atom; uncorrected formation energy = -0.4367 eV per atom; V = 72 Å³ per cell; Fermi-level density of states = 0.11 states/eV/cell
1.0
7.5613 0.0000 0.8120
1.7476 1.7596 -2.5301
-1.7476 1.7596 2.5301
S Au Al
2 1 1
Direct
0.7011 0.7027 0.2973 S
0.2989 0.2973 0.7027 S
0.0000 0.0000 0.0000 Au
0.5000 0.5000 0.5000 Al

No. 7
PBE-GGA BaMn2Be, relaxed; raw total energy = -4.8592 eV per atom; energy of formation from the pure elements = 1.138 eV per atom; V = 84 Å³ per cell; Fermi-level density of states = 4.45 states/eV/cell
1.0
6.0186 -0.1078 -0.0177
-2.9538 5.2450 -0.0177
0.8297 1.3908 2.6635
Be Mn Ba
1 2 1
Direct
0.0000 0.5000 0.5000 Be
0.0000 0.0000 0.0000 Mn
0.5000 0.5000 0.0000 Mn
0.5000 0.0000 0.5000 Ba

No. 8
PBE-GGA Sc4NiRu, relaxed; raw total energy = -7.1213 eV per atom; energy of formation from the pure elements = -0.391 eV per atom; V = 119 Å³ per cell; Fermi-level density of states = 4.15 states/eV/cell
1.0
-0.0468 2.4308 2.0935
-2.3442 -1.4553 1.6374
7.8653 -5.4074 6.4538
Sc Ni Ru
4 1 1
Direct
0.5000 0.5000 0.8658 Sc
0.5000 0.5000 0.1342 Sc
0.0000 0.0000 0.6317 Sc
0.0000 0.0000 0.3683 Sc
0.5000 0.5000 0.5000 Ni
0.0000 0.0000 0.0000 Ru

No. 9
PBE-GGA LiAl2Mo, relaxed; raw total energy = -5.0615 eV per atom; energy of formation from the pure elements = -0.004 eV per atom; V = 62 Å³ per cell; Fermi-level density of states = 1.83 states/eV/cell
1.0
-1.8459 3.8765 1.8242
-3.7301 1.9656 1.9963
1.4061 -0.9431 4.9209
Al Li Mo
2 1 1
Direct
0.9977 0.9977 0.0123 Al
0.5023 0.5023 0.4877 Al
0.7500 0.7500 0.7500 Li
0.2500 0.2500 0.2500 Mo

No. 10
PBE-GGA RbYTi, relaxed; raw total energy = -3.7219 eV per atom; energy of formation from the pure elements = 1.387 eV per atom; V = 127 Å³ per cell; Fermi-level density of states = 4.50 states/eV/cell
1.0
-3.0987 -4.2082 2.1282
-4.2522 1.1341 3.5317
-5.3368 -0.7083 -1.6904
Y Rb Ti
1 1 1
Direct
0.7500 0.7500 0.7500 Y
0.2500 0.2500 0.2500 Rb
0.5000 0.5000 0.5000 Ti

No. 11
PBE-GGA NaC, relaxed; raw total energy = -4.9397 eV per atom; energy of formation from the pure elements = 0.332 eV per atom; V = 830 Å³ per cell; Fermi-level density of states = 0.00 states/eV/cell
1.0
-4.7052 5.0099 0.4789
-8.4408 -8.5444 6.4560
3.4262 2.4763 7.7569
Na C
16 16
Direct
0.0000 0.1882 0.0000 Na
0.0000 0.8118 0.0000 Na
0.2500 0.5618 0.2500 Na
0.2500 0.9382 0.2500 Na
0.0000 0.6882 0.5000 Na
0.0000 0.3118 0.5000 Na
0.2500 0.0618 0.7500 Na
0.2500 0.4382 0.7500 Na
0.5000 0.1882 0.5000 Na
0.5000 0.8118 0.5000 Na
0.7500 0.5618 0.7500 Na
0.7500 0.9382 0.7500 Na
0.5000 0.6882 0.0000 Na
0.5000 0.3118 0.0000 Na
0.7500 0.0618 0.2500 Na
0.7500 0.4382 0.2500 Na
0.0000 0.0000 0.9286 C
0.0000 0.0000 0.0714 C
0.2500 0.7500 0.3214 C
0.2500 0.7500 0.1786 C
0.0000 0.5000 0.4286 C
0.0000 0.5000 0.5714 C
0.2500 0.2500 0.8214 C
0.2500 0.2500 0.6786 C
0.5000 0.0000 0.4286 C
0.5000 0.0000 0.5714 C
0.7500 0.7500 0.8214 C
0.7500 0.7500 0.6786 C
0.5000 0.5000 0.9286 C
0.5000 0.5000 0.0714 C
0.7500 0.2500 0.3214 C
0.7500 0.2500 0.1786 C

No. 12
PBE-GGA TbTlH, relaxed; raw total energy = -3.8607 eV per atom; V = 62 Å³ per cell; Fermi-level density of states = 1.38 states/eV/cell
1.0
5.3392 0.0000 0.0000
0.0000 3.6549 0.0000
0.0000 -1.8275 3.1653
H Tl Tb
1 1 1
Direct
0.1668 0.3333 0.6667 H
0.6666 0.6667 0.3333 Tl
0.1666 0.0000 0.0000 Tb

No. 13
PBE-GGA Ca2PSe, relaxed; raw total energy = -4.3531 eV per atom; uncorrected formation energy = -1.1287 eV per atom; V = 93 Å³ per cell; Fermi-level density of states = 4.81 states/eV/cell
1.0
4.7775 -1.6981 0.3941
2.8949 1.4402 3.9254
1.2165 -3.3512 3.6268
P Ca Se
1 2 1
Direct
0.0000 0.0000 0.0000 P
0.2500 0.2500 0.2500 Ca
0.7500 0.7500 0.7500 Ca
0.5000 0.5000 0.5000 Se

No. 14
PBE-GGA CdMoAs2, relaxed; raw total energy = -4.8823 eV per atom; energy of formation from the pure elements = 0.379 eV per atom; V = 71 Å³ per cell; Fermi-level density of states = 2.32 states/eV/cell
1.0
4.5799 0.0000 0.0000
0.0000 4.5799 0.0000
0.0000 0.0000 3.3826
Mo As Cd
1 2 1
Direct
0.0000 0.5000 0.5000 Mo
0.0000 0.0000 0.0000 As
0.5000 0.5000 0.0000 As
0.5000 0.0000 0.5000 Cd

No. 15
PBE-GGA TlCuPCl2, relaxed; raw total energy = -3.1910 eV per atom; uncorrected formation energy = -0.0779 eV per atom; V = 120 Å³ per cell; Fermi-level density of states = 2.14 states/eV/cell
1.0
-3.3769 3.2922 -2.0502
-0.4079 -3.0048 -4.1533
-3.3932 -2.2563 1.9657
P Tl Cu Cl
1 1 1 2
Direct
0.0000 0.0000 0.5000 P
0.5000 0.5000 0.5000 Tl
0.0000 0.0000 0.0000 Cu
0.0000 0.5000 0.0000 Cl
0.5000 0.0000 0.0000 Cl

No. 16
PBE-GGA LaPr4Ga4, relaxed; raw total energy = -4.3138 eV per atom; energy of formation from the pure elements = -0.297 eV per atom; V = 499 Å³ per cell; Fermi-level density of states = 17.43 states/eV/cell
1.0
6.0566 0.0000 0.0000
0.0000 9.0790 0.0000
0.0000 0.0000 9.0790
La Pr Ga
2 8 8
Direct
0.0000 0.0000 0.0000 La
0.5000 0.5000 0.5000 La
0.3565 0.4160 0.8342 Pr
0.8565 0.6658 0.9160 Pr
0.3565 0.5840 0.1658 Pr
0.1435 0.0840 0.6658 Pr
0.6435 0.8342 0.5840 Pr
0.1435 0.9160 0.3342 Pr
0.8565 0.3342 0.0840 Pr
0.6435 0.1658 0.4160 Pr
0.6343 0.8790 0.2233 Ga
0.6343 0.1210 0.7767 Ga
0.1343 0.7233 0.6210 Ga
0.8657 0.3790 0.7233 Ga
0.8657 0.6210 0.2767 Ga
0.3657 0.2233 0.1210 Ga
0.3657 0.7767 0.8790 Ga
0.1343 0.2767 0.3790 Ga

No. 17
PBE-GGA ScTi2Pd, relaxed; raw total energy = -6.8261 eV per atom; energy of formation from the pure elements = 0.002 eV per atom; V = 154 Å³ per cell; Fermi-level density of states = 14.25 states/eV/cell
1.0
7.4704 0.0000 0.0000
0.0000 7.4704 0.0000
3.7352 3.7352 2.7588
Sc Pd Ti
2 2 4
Direct
0.5000 0.5000 0.0000 Sc
0.2500 0.7500 0.5000 Sc
0.0000 0.0000 0.0000 Pd
0.7500 0.2500 0.5000 Pd
0.6704 0.1250 0.2500 Ti
0.0796 0.6250 0.2500 Ti
0.3750 0.3296 0.7500 Ti
0.8750 0.9204 0.7500 Ti

No. 18
PBE-GGA FeSb3S, relaxed; raw total energy = -4.0281 eV per atom; uncorrected formation energy = 0.9634 eV per atom; V = 137 Å³ per cell; Fermi-level density of states = 7.70 states/eV/cell
1.0
5.1577 0.0000 0.0000
0.0000 5.1577 0.0000
0.0000 0.0000 5.1577
Sb S Fe
3 1 1
Direct
0.0000 0.5000 0.0000 Sb
0.0000 0.0000 0.5000 Sb
0.5000 0.0000 0.0000 Sb
0.0000 0.0000 0.0000 S
0.5000 0.5000 0.5000 Fe

No. 19
PBE-GGA AlSiPN4, relaxed; raw total energy = -7.2844 eV per atom; uncorrected formation energy = -0.4449 eV per atom; V = 80 Å³ per cell; Fermi-level density of states = 0.00 states/eV/cell
1.0
-1.4278 2.6887 2.8286
-2.9586 -3.3257 -0.0444
4.0052 -1.5905 2.3511
Al Si P N
1 1 1 4
Direct
0.6133 0.8586 0.4022 Al
0.2403 0.5211 0.7932 Si
0.2352 0.1079 0.1978 P
0.9656 0.7727 0.9004 N
0.6250 0.7575 0.7439 N
0.0206 0.1931 0.4599 N
0.3730 0.4350 0.1043 N

No. 20
PBE-GGA Dy2MgAg4, relaxed; raw total energy = -3.2747 eV per atom; energy of formation from the pure elements = -0.103 eV per atom; V = 168 Å³ per cell; Fermi-level density of states = 4.96 states/eV/cell
1.0
-1.5158 0.6868 4.3902
-3.9890 -2.0089 1.4475
2.6915 -7.5064 4.6140
Dy Mg Ag
2 1 4
Direct
0.7508 0.7508 0.7476 Dy
0.2492 0.2492 0.2524 Dy
0.0000 0.0000 0.0000 Mg
0.8644 0.8644 0.4067 Ag
0.1356 0.1356 0.5933 Ag
0.6375 0.6375 0.0874 Ag
0.3625 0.3625 0.9126 Ag